VASP calculation (PBEsol) on a relaxed YSiH crystal.

Summary:
density of states at the Fermi level: 0.5 states/eV/f.u.
total magnetization: 0.0 μB/f.u.
VASP energy: -6.087 eV per atom
V: 85.6 Å³/cell

Unit cell a=3.851 b=3.967 c=5.946 alpha=70.52 beta=90.00 gamma=90.00
Element x y z (fractional)
1 H 0.250 0.255 0.490
2 H 0.750 0.745 0.510
3 Y 0.750 0.148 0.705
4 Y 0.250 0.852 0.295
5 Si 0.750 0.439 0.122
6 Si 0.250 0.561 0.878

***

VASP calculation (PBEsol) on a relaxed Ta2SiTc crystal.

Summary:
density of states at the Fermi level: 2.8 states/eV/f.u.
total magnetization: 0.0 μB/f.u.
VASP energy: -10.836 eV per atom
energy relative to the elements, uncorrected: -1.2 eV/f.u.
V: 61.7 Å³/cell

Unit cell a=3.182 b=4.239 c=5.287 alpha=113.63 beta=107.51 gamma=90.00
Element x y z (fractional)
1 Ta 0.761 0.761 0.522
2 Ta 0.004 0.504 0.009
3 Tc 0.504 0.004 0.007
4 Si 0.231 0.231 0.462

***

VASP calculation (PBEsol) on a relaxed CrFeSe2Br crystal.

Summary:
density of states at the Fermi level: 7.7 states/eV/f.u.
total magnetization: 7.2 μB/f.u.
VASP energy: -5.280 eV per atom
energy relative to the elements, uncorrected: 2.4 eV/f.u.
V: 107.5 Å³/cell

Unit cell a=4.608 b=4.608 c=5.065 alpha=90.00 beta=90.00 gamma=90.00
Element x y z (fractional)
1 Se 0.000 0.500 0.000
2 Se 0.500 0.000 0.000
3 Fe 0.000 0.000 0.000
4 Cr 0.500 0.500 0.500
5 Br 0.000 0.000 0.500

***

VASP calculation (PBEsol) on a relaxed Cs2KSbBr6 crystal.

Summary:
density of states at the Fermi level: 0.0 states/eV/f.u.
total magnetization: 0.0 μB/f.u.
VASP energy: -3.192 eV per atom
energy relative to the elements, uncorrected: -13.1 eV/f.u.
V: 398.5 Å³/cell

Unit cell a=8.260 b=8.260 c=8.260 alpha=60.00 beta=60.00 gamma=60.00
Element x y z (fractional)
1 Br 0.237 0.237 0.763
2 Br 0.763 0.237 0.763
3 Br 0.237 0.763 0.237
4 Br 0.763 0.237 0.237
5 Br 0.763 0.763 0.237
6 Br 0.237 0.763 0.763
7 Cs 0.250 0.250 0.250
8 Cs 0.750 0.750 0.750
9 K 0.500 0.500 0.500
10 Sb 0.000 0.000 0.000

***

VASP calculation (PBEsol) on a relaxed MgTaNi6 crystal.

Summary:
density of states at the Fermi level: 7.7 states/eV/f.u.
total magnetization: 0.2 μB/f.u.
VASP energy: -6.672 eV per atom
V: 372.3 Å³/cell
energy relative to the elements: -6.24 kcal/mol of atoms

Unit cell a=6.229 b=6.229 c=10.180 alpha=90.00 beta=90.00 gamma=109.48
Element x y z (fractional)
1 Ni 0.876 0.626 0.624
2 Ni 0.000 0.000 0.500
3 Ni 0.876 0.626 0.126
4 Ni 0.124 0.374 0.376
5 Ni 0.124 0.374 0.874
6 Ni 0.124 0.374 0.624
7 Ni 0.374 0.124 0.376
8 Ni 0.374 0.124 0.126
9 Ni 0.751 0.249 0.748
10 Ni 0.124 0.374 0.126
11 Ni 0.876 0.626 0.376
12 Ni 0.626 0.876 0.376
13 Ni 0.751 0.249 0.252
14 Ni 0.374 0.124 0.874
15 Ni 0.500 0.500 0.500
16 Ni 0.249 0.751 0.748
17 Ni 0.626 0.876 0.126
18 Ni 0.626 0.876 0.624
19 Ni 0.000 0.000 0.000
20 Ni 0.626 0.876 0.874
21 Ni 0.876 0.626 0.874
22 Ni 0.249 0.751 0.252
23 Ni 0.500 0.500 0.000
24 Ni 0.374 0.124 0.624
25 Ta 0.000 0.000 0.245
26 Ta 0.000 0.000 0.755
27 Ta 0.249 0.751 0.500
28 Ta 0.751 0.249 0.500
29 Mg 0.500 0.500 0.752
30 Mg 0.751 0.249 0.000
31 Mg 0.500 0.500 0.248
32 Mg 0.249 0.751 0.000

***

VASP calculation (PBEsol) on a relaxed TlCdW crystal.

Summary:
density of states at the Fermi level: 1.4 states/eV/f.u.
total magnetization: 0.0 μB/f.u.
VASP energy: -5.149 eV per atom
V: 58.5 Å³/cell
energy relative to the elements: 16.83 kcal/mol of atoms

Unit cell a=2.999 b=2.999 c=7.510 alpha=90.00 beta=90.00 gamma=120.00
Element x y z (fractional)
1 Tl 0.333 0.667 0.655
2 Cd 0.000 0.000 0.016
3 W 0.667 0.333 0.328